Material: AcBi3S6
Method: DFT, GGA-PBE
State: relaxed

```
AcBi3S6
1.0
4.125 0.000 0.000
0.000 11.831 0.166
0.000 -3.791 11.233
S Bi Ac
12 6 2
Cartesian
3.094 7.814 3.180
1.031 -2.562 10.086
1.031 4.851 4.409
3.094 6.654 8.549
3.094 3.190 6.991
1.031 0.227 8.219
3.094 10.603 1.314
3.094 4.481 0.938
1.031 8.451 6.155
3.094 -0.410 5.245
1.031 1.387 2.851
1.031 3.560 10.461
3.094 1.470 1.120
1.031 1.652 5.946
3.094 6.389 5.453
3.094 2.065 9.469
1.031 6.571 10.280
1.031 5.976 1.931
1.031 10.154 3.598
3.094 -2.113 7.802
```

Output
Magnetic moment = 0.00 Bohr magnetons per cell
Total energy = -4.880 eV per atom
SG = No. 11

Material: AcBi2S
Method: DFT, GGA-PBE
State: relaxed

```
AcBi2S
1.0
-3.286 5.493 1.737
-3.175 -1.008 -2.818
-2.070 -2.227 3.129
Ac Bi S
1 2 1
Cartesian
-4.265 1.129 1.024
-1.588 -0.504 -1.409
-1.035 -1.114 1.565
-1.643 2.747 0.868
```

Output
Magnetic moment = 0.00 Bohr magnetons per cell
D(E_F) = 2.78 states/eV/cell
Total energy = -4.837 eV per atom
SG = No. 123

Material: Ac2BiS
Method: DFT, GGA-PBE
State: relaxed

```
Ac2BiS
1.0
4.468 0.000 0.000
2.234 3.870 0.000
2.234 1.290 8.144
Bi Ac S
1 2 1
Cartesian
6.703 3.870 8.117
2.234 1.290 6.021
2.234 1.290 2.099
4.468 2.580 4.124
```

Output
Magnetic moment = 0.48 Bohr magnetons per cell
D(E_F) = 2.43 states/eV/cell
Total energy = -5.343 eV per atom
SG = No. 160

Material: Ac3Bi2S
Method: DFT, GGA-PBE
State: relaxed

```
Ac3Bi2S
1.0
4.618 0.000 -1.053
-0.239 4.614 -1.054
-0.044 -0.047 10.473
Bi S Ac
2 1 3
Cartesian
3.329 3.513 4.010
0.441 0.472 1.990
1.862 1.969 8.236
4.051 4.276 7.182
2.581 2.727 0.719
1.189 1.258 5.280
```

Output
Magnetic moment = 0.00 Bohr magnetons per cell
D(E_F) = 2.19 states/eV/cell
Total energy = -5.289 eV per atom
SG = No. 139